[1]
This record from Alexandria describes a relaxed Ba3GeS crystal. The functional is PBE-GGA.

Computed properties:
* E_form (uncorrected): -0.821 eV/atom
* energy relative to the lowest polymorph listed for this composition: 0.0 kJ per mole of atoms

Cell and atoms, written as CIF:
```
data_Ba3GeS
_symmetry_space_group_name_H-M 'P m -3 m'
_symmetry_Int_Tables_number 221
_symmetry_space_group_name_Hall '-P 4 2 3'
_cell_length_a 5.9979
_cell_length_b 5.9979
_cell_length_c 5.9979
_cell_angle_alpha 90.00
_cell_angle_beta 90.00
_cell_angle_gamma 90.00
loop_
_atom_site_label
_atom_site_fract_x
_atom_site_fract_y
_atom_site_fract_z
_atom_site_occupancy
Ba1 0.0000 0.0000 0.5000 1
Ge1 0.5000 0.5000 0.5000 1
S1 0.0000 0.0000 0.0000 1
```



[2]
This record from Alexandria describes a relaxed AlFe2Os2 crystal. The functional is PBE-GGA.

Computed properties:
* formation energy from the elements: 0.196 eV/atom

Cell and atoms, written as CIF:
```
data_AlFe2Os2
_symmetry_space_group_name_H-M 'P 4/m b m'
_symmetry_Int_Tables_number 127
_symmetry_space_group_name_Hall '-P 4 2ab'
_cell_length_a 7.0164
_cell_length_b 7.0164
_cell_length_c 2.7000
_cell_angle_alpha 90.00
_cell_angle_beta 90.00
_cell_angle_gamma 90.00
loop_
_atom_site_label
_atom_site_fract_x
_atom_site_fract_y
_atom_site_fract_z
_atom_site_occupancy
Al1 0.0000 0.0000 0.0000 1
Fe1 0.1187 0.3813 0.0000 1
Os1 0.1763 0.6763 0.5000 1
```



[3]
This record from Alexandria describes a relaxed K2TcH crystal. The functional is PBE-GGA.

Computed properties:
* energy relative to the lowest polymorph listed for this composition: 56.2 kJ per mole of atoms

Cell and atoms, written as CIF:
```
data_K2TcH
_symmetry_space_group_name_H-M 'F m -3 m'
_symmetry_Int_Tables_number 225
_symmetry_space_group_name_Hall '-F 4 2 3'
_cell_length_a 8.1201
_cell_length_b 8.1201
_cell_length_c 8.1201
_cell_angle_alpha 90.00
_cell_angle_beta 90.00
_cell_angle_gamma 90.00
loop_
_atom_site_label
_atom_site_fract_x
_atom_site_fract_y
_atom_site_fract_z
_atom_site_occupancy
K1 0.2500 0.2500 0.2500 1
Tc1 0.0000 0.0000 0.0000 1
H1 0.0000 0.0000 0.5000 1
```



Number 1: theoretical density 3976 kg/m³, uncorrected energy -3.724 eV per atom. Number 2: theoretical density 12971 kg/m³, uncorrected energy -8.429 eV per atom. Number 3: theoretical density 2198 kg/m³, uncorrected energy -2.560 eV per atom.